! LiCrCu2 (PBE-GGA, relaxed); values from VASP
&SYSTEM
  ibrav = 0, nat = 4, ntyp = 3
/
ATOMIC_SPECIES
Li 6.94 Li.upf
Cr 52.00 Cr.upf
Cu 63.55 Cu.upf
CELL_PARAMETERS angstrom
4.4679 -1.2262 0.0000
4.4679 1.2262 0.0000
-0.7044 0.0000 4.5482
ATOMIC_POSITIONS crystal
Li 0.0000 0.0000 0.0000
Cr 0.2333 0.2333 0.6912
Cu 0.4866 0.4866 0.4943
Cu 0.7519 0.7519 0.2017
! - E (Ry/atom) = -0.346
! - DFT formation energy (eV/f.u.) = 0.93
! - distance to the lowest polymorph of the same formula (meV per atom) = 56